Arrangement a

A relaxed TaNbNi2H crystal. Source: Alexandria via LeMat-Bulk, functional PBE.

Summary:
**Crystal system**: tetragonal
**Total moment**: 0.00 μB per formula unit
**DOS at the Fermi energy**: 0.751 states/eV/atom
**Symmetry**: P4/mmm (123)

a = 3.8541 Å, b = 3.8541 Å, c = 4.0224 Å
α = 90.00°, β = 90.00°, γ = 90.00°
Atoms (fractional coordinates):
Ta 0.0000 0.0000 0.0000
Nb 0.5000 0.5000 0.0000
Ni 0.0000 0.5000 0.5000
Ni 0.5000 0.0000 0.5000
H 0.5000 0.5000 0.5000

Arrangement b

A relaxed TaNbNi2H crystal. Source: Alexandria via LeMat-Bulk, functional PBE.

Summary:
**Crystal system**: tetragonal
**Total moment**: 0.00 μB per formula unit
**DOS at the Fermi energy**: 0.737 states/eV/atom
**Symmetry**: P4/mmm (123)

a = 3.8563 Å, b = 3.8563 Å, c = 4.0235 Å
α = 90.00°, β = 90.00°, γ = 90.00°
Atoms (fractional coordinates):
Ta 0.0000 0.0000 0.0000
Nb 0.5000 0.5000 0.0000
Ni 0.0000 0.5000 0.5000
Ni 0.5000 0.0000 0.5000
H 0.0000 0.0000 0.5000

Which is most stable? The ranking, best first, is arrangement a, arrangement b.

Arrangement a

A relaxed NbTcNi2H crystal. Source: Alexandria via LeMat-Bulk, functional PBE.

Summary:
**Crystal system**: tetragonal
**Total moment**: 0.00 μB per formula unit
**DOS at the Fermi energy**: 0.993 states/eV/atom
**Symmetry**: P4/mmm (123)

a = 3.7509 Å, b = 3.7509 Å, c = 3.9769 Å
α = 90.00°, β = 90.00°, γ = 90.00°
Atoms (fractional coordinates):
Nb 0.0000 0.0000 0.0000
Tc 0.5000 0.5000 0.0000
Ni 0.0000 0.5000 0.5000
Ni 0.5000 0.0000 0.5000
H 0.5000 0.5000 0.5000

Arrangement b

A relaxed NbTcNi2H crystal. Source: Alexandria via LeMat-Bulk, functional PBE.

Summary:
**Crystal system**: tetragonal
**Total moment**: 0.00 μB per formula unit
**DOS at the Fermi energy**: 0.938 states/eV/atom
**Symmetry**: P4/mmm (123)

a = 3.6923 Å, b = 3.6923 Å, c = 4.1247 Å
α = 90.00°, β = 90.00°, γ = 90.00°
Atoms (fractional coordinates):
Nb 0.0000 0.0000 0.0000
Tc 0.5000 0.5000 0.0000
Ni 0.0000 0.5000 0.5000
Ni 0.5000 0.0000 0.5000
H 0.0000 0.0000 0.5000

Which is most stable? The ranking, best first, is arrangement a, arrangement b.

Arrangement a

A relaxed Nb2TcNiH crystal. Source: Alexandria via LeMat-Bulk, functional PBE.

Summary:
**Crystal system**: tetragonal
**Total moment**: 0.00 μB per formula unit
**DOS at the Fermi energy**: 0.790 states/eV/atom
**Symmetry**: P4/mmm (123)

a = 4.3023 Å, b = 4.3023 Å, c = 3.4569 Å
α = 90.00°, β = 90.00°, γ = 90.00°
Atoms (fractional coordinates):
Nb 0.0000 0.5000 0.0000
Nb 0.5000 0.0000 0.0000
Tc 0.0000 0.0000 0.5000
Ni 0.5000 0.5000 0.5000
H 0.5000 0.5000 0.0000

Arrangement b

A relaxed Nb2TcNiH crystal. Source: Alexandria via LeMat-Bulk, functional PBE.

Summary:
**Crystal system**: tetragonal
**Total moment**: 0.00 μB per formula unit
**DOS at the Fermi energy**: 1.100 states/eV/atom
**Symmetry**: P4/mmm (123)

a = 4.1424 Å, b = 4.1424 Å, c = 3.7701 Å
α = 90.00°, β = 90.00°, γ = 90.00°
Atoms (fractional coordinates):
Nb 0.0000 0.5000 0.0000
Nb 0.5000 0.0000 0.0000
Tc 0.0000 0.0000 0.5000
Ni 0.5000 0.5000 0.5000
H 0.0000 0.0000 0.0000

Which is most stable? The ranking, best first, is arrangement a, arrangement b.

Arrangement a

A relaxed TiNb2NiH crystal. Source: Alexandria via LeMat-Bulk, functional PBE.

Summary:
**Crystal system**: tetragonal
**Total moment**: 0.00 μB per formula unit
**DOS at the Fermi energy**: 0.916 states/eV/atom
**Symmetry**: P4/mmm (123)

a = 4.2893 Å, b = 4.2893 Å, c = 3.5673 Å
α = 90.00°, β = 90.00°, γ = 90.00°
Atoms (fractional coordinates):
Ti 0.0000 0.0000 0.0000
Nb 0.0000 0.5000 0.5000
Nb 0.5000 0.0000 0.5000
Ni 0.5000 0.5000 0.0000
H 0.5000 0.5000 0.5000

Arrangement b

A relaxed TiNb2NiH crystal. Source: Alexandria via LeMat-Bulk, functional PBE.

Summary:
**Crystal system**: tetragonal
**Total moment**: 0.00 μB per formula unit
**DOS at the Fermi energy**: 1.025 states/eV/atom
**Symmetry**: P4/mmm (123)

a = 4.0813 Å, b = 4.0813 Å, c = 4.0174 Å
α = 90.00°, β = 90.00°, γ = 90.00°
Atoms (fractional coordinates):
Ti 0.0000 0.0000 0.0000
Nb 0.0000 0.5000 0.5000
Nb 0.5000 0.0000 0.5000
Ni 0.5000 0.5000 0.0000
H 0.0000 0.0000 0.5000

Which is most stable? The ranking, best first, is arrangement a, arrangement b.

Arrangement a

A relaxed NbVNi2H crystal. Source: Alexandria via LeMat-Bulk, functional PBE.

Summary:
**Crystal system**: tetragonal
**Total moment**: 0.00 μB per formula unit
**DOS at the Fermi energy**: 0.877 states/eV/atom
**Symmetry**: P4/mmm (123)

a = 3.6958 Å, b = 3.6958 Å, c = 3.9902 Å
α = 90.00°, β = 90.00°, γ = 90.00°
Atoms (fractional coordinates):
Nb 0.0000 0.0000 0.0000
V 0.5000 0.5000 0.0000
Ni 0.0000 0.5000 0.5000
Ni 0.5000 0.0000 0.5000
H 0.5000 0.5000 0.5000

Arrangement b

A relaxed NbVNi2H crystal. Source: Alexandria via LeMat-Bulk, functional PBE.

Summary:
**Crystal system**: tetragonal
**Total moment**: 0.00 μB per formula unit
**DOS at the Fermi energy**: 0.919 states/eV/atom
**Symmetry**: P4/mmm (123)

a = 3.6759 Å, b = 3.6759 Å, c = 4.0754 Å
α = 90.00°, β = 90.00°, γ = 90.00°
Atoms (fractional coordinates):
Nb 0.0000 0.0000 0.0000
V 0.5000 0.5000 0.0000
Ni 0.0000 0.5000 0.5000
Ni 0.5000 0.0000 0.5000
H 0.0000 0.0000 0.5000

Which is most stable? The ranking, best first, is arrangement a, arrangement b.

Arrangement a

A relaxed NbV2NiH crystal. Source: Alexandria via LeMat-Bulk, functional PBE.

Summary:
**Crystal system**: tetragonal
**Total moment**: 0.00 μB per formula unit
**DOS at the Fermi energy**: 0.779 states/eV/atom
**Symmetry**: P4/mmm (123)

a = 4.1436 Å, b = 4.1436 Å, c = 3.3632 Å
α = 90.00°, β = 90.00°, γ = 90.00°
Atoms (fractional coordinates):
Nb 0.0000 0.0000 0.0000
V 0.0000 0.5000 0.5000
V 0.5000 0.0000 0.5000
Ni 0.5000 0.5000 0.0000
H 0.5000 0.5000 0.5000

Arrangement b

A relaxed NbV2NiH crystal. Source: Alexandria via LeMat-Bulk, functional PBE.

Summary:
**Crystal system**: tetragonal
**Total moment**: 0.00 μB per formula unit
**DOS at the Fermi energy**: 1.327 states/eV/atom
**Symmetry**: P4/mmm (123)

a = 3.7414 Å, b = 3.7414 Å, c = 4.1918 Å
α = 90.00°, β = 90.00°, γ = 90.00°
Atoms (fractional coordinates):
Nb 0.0000 0.0000 0.0000
V 0.0000 0.5000 0.5000
V 0.5000 0.0000 0.5000
Ni 0.5000 0.5000 0.0000
H 0.0000 0.0000 0.5000

Which is most stable? The ranking, best first, is arrangement a, arrangement b.

Arrangement a

A relaxed NbTeHOsO crystal. Source: Alexandria via LeMat-Bulk, functional PBE.

Summary:
**Crystal system**: monoclinic
**Total moment**: 0.00 μB per formula unit
**DOS at the Fermi energy**: 0.420 states/eV/atom
**Symmetry**: Cm (8)

a = 14.4993 Å, b = 4.2846 Å, c = 3.2078 Å
α = 90.00°, β = 96.43°, γ = 90.00°
Atoms (fractional coordinates):
Nb 0.0000 0.0000 0.0000
Nb 0.5000 0.5000 0.0000
Te 0.2106 0.0000 0.1077
Te 0.7106 0.5000 0.1077
H 0.1496 0.5000 0.5762
H 0.6496 0.0000 0.5762
Os 0.1010 0.5000 0.0514
Os 0.6010 0.0000 0.0514
O 0.4255 0.5000 0.4623
O 0.9255 0.0000 0.4623

Arrangement b

A relaxed NbTeHOsO crystal. Source: Alexandria via LeMat-Bulk, functional PBE.

Summary:
**Crystal system**: triclinic
**Total moment**: 0.00 μB per formula unit
**Symmetry**: P1 (1)

a = 3.6863 Å, b = 4.2917 Å, c = 5.6688 Å
α = 96.35°, β = 108.40°, γ = 102.57°
Atoms (fractional coordinates):
Nb 0.0000 0.0000 0.0000
Te 0.3360 0.1111 0.6048
H 0.7305 0.4204 0.2676
Os 0.3071 0.5120 0.2753
O 0.4580 0.8049 0.0415

Which is most stable? The ranking, best first, is arrangement a, arrangement b.

Arrangement a

A relaxed NbPHO2 crystal. Source: Alexandria via LeMat-Bulk, functional PBE.

Summary:
**Crystal system**: tetragonal
**Total moment**: 0.00 μB per formula unit
**DOS at the Fermi energy**: 0.619 states/eV/atom
**Symmetry**: P4/mmm (123)

a = 3.9482 Å, b = 3.9482 Å, c = 2.9991 Å
α = 90.00°, β = 90.00°, γ = 90.00°
Atoms (fractional coordinates):
Nb 0.0000 0.0000 0.0000
P 0.5000 0.5000 0.0000
H 0.5000 0.5000 0.5000
O 0.0000 0.5000 0.5000
O 0.5000 0.0000 0.5000

Arrangement b

A relaxed NbPHO2 crystal. Source: Alexandria via LeMat-Bulk, functional PBE.

Summary:
**Crystal system**: tetragonal
**Total moment**: 0.89 μB per formula unit
**DOS at the Fermi energy**: 0.211 states/eV/atom
**Symmetry**: P4/mmm (123)

a = 3.8742 Å, b = 3.8742 Å, c = 5.3539 Å
α = 90.00°, β = 90.00°, γ = 90.00°
Atoms (fractional coordinates):
Nb 0.0000 0.0000 0.0000
P 0.0000 0.0000 0.5000
H 0.5000 0.5000 0.5000
O 0.0000 0.5000 0.0000
O 0.5000 0.0000 0.0000

Which is most stable? The ranking, best first, is arrangement b, arrangement a.

Arrangement a

A relaxed Nb2H2Os crystal. Source: Alexandria via LeMat-Bulk, functional PBE.

Summary:
**Crystal system**: tetragonal
**Total moment**: 0.00 μB per formula unit
**DOS at the Fermi energy**: 0.520 states/eV/atom
**Symmetry**: P4/mmm (123)

a = 3.0114 Å, b = 3.0114 Å, c = 6.4075 Å
α = 90.00°, β = 90.00°, γ = 90.00°
Atoms (fractional coordinates):
Nb 0.0000 0.0000 0.2271
Nb 0.0000 0.0000 0.7729
H 0.0000 0.5000 0.0000
H 0.5000 0.0000 0.0000
Os 0.5000 0.5000 0.5000

Arrangement b

A relaxed Nb2H2Os crystal. Source: Alexandria via LeMat-Bulk, functional PBE.

Summary:
**Crystal system**: tetragonal
**Total moment**: 0.00 μB per formula unit
**DOS at the Fermi energy**: 0.577 states/eV/atom
**Symmetry**: P4/mbm (127)

a = 6.1440 Å, b = 6.1440 Å, c = 2.9780 Å
α = 90.00°, β = 90.00°, γ = 90.00°
Atoms (fractional coordinates):
Nb 0.1617 0.3383 0.0000
Nb 0.3383 0.8383 0.0000
Nb 0.6617 0.1617 0.0000
Nb 0.8383 0.6617 0.0000
H 0.1240 0.6240 0.5000
H 0.3760 0.1240 0.5000
H 0.6240 0.8760 0.5000
H 0.8760 0.3760 0.5000
Os 0.0000 0.0000 0.5000
Os 0.5000 0.5000 0.5000

Which is most stable? The ranking, best first, is arrangement a, arrangement b.

Arrangement a

A relaxed Nb2HOs crystal. Source: Alexandria via LeMat-Bulk, functional PBE.

Summary:
**Crystal system**: cubic
**Total moment**: 0.00 μB per formula unit
**DOS at the Fermi energy**: 0.825 states/eV/atom
**Symmetry**: Fm-3m (225)

a = 6.1843 Å, b = 6.1843 Å, c = 6.1843 Å
α = 90.00°, β = 90.00°, γ = 90.00°
Atoms (fractional coordinates):
Nb 0.2500 0.2500 0.2500
Nb 0.2500 0.2500 0.7500
Nb 0.2500 0.7500 0.2500
Nb 0.2500 0.7500 0.7500
Nb 0.7500 0.2500 0.2500
Nb 0.7500 0.2500 0.7500
Nb 0.7500 0.7500 0.2500
Nb 0.7500 0.7500 0.7500
H 0.0000 0.0000 0.0000
H 0.0000 0.5000 0.5000
H 0.5000 0.0000 0.5000
H 0.5000 0.5000 0.0000
Os 0.0000 0.0000 0.5000
Os 0.0000 0.5000 0.0000
Os 0.5000 0.0000 0.0000
Os 0.5000 0.5000 0.5000

Arrangement b

A relaxed Nb2HOs crystal. Source: Alexandria via LeMat-Bulk, functional PBE.

Summary:
**Crystal system**: trigonal
**Total moment**: 0.00 μB per formula unit
**DOS at the Fermi energy**: 0.588 states/eV/atom
**Symmetry**: R-3m (166)

a = 2.8933 Å, b = 2.8933 Å, c = 21.6819 Å
α = 90.00°, β = 90.00°, γ = 120.00°
Atoms (fractional coordinates):
Nb 0.0000 0.0000 0.2293
Nb 0.0000 0.0000 0.7707
Nb 0.3333 0.6667 0.4374
Nb 0.3333 0.6667 0.8960
Nb 0.6667 0.3333 0.1040
Nb 0.6667 0.3333 0.5626
H 0.0000 0.0000 0.5000
H 0.3333 0.6667 0.1667
H 0.6667 0.3333 0.8333
Os 0.0000 0.0000 0.0000
Os 0.3333 0.6667 0.6667
Os 0.6667 0.3333 0.3333

Which is most stable? The ranking, best first, is arrangement b, arrangement a.

Arrangement a

A relaxed NbHOs3 crystal. Source: Alexandria via LeMat-Bulk, functional PBE.

Summary:
**Crystal system**: cubic
**Total moment**: 0.00 μB per formula unit
**DOS at the Fermi energy**: 0.809 states/eV/atom
**Symmetry**: Pm-3m (221)

a = 3.9741 Å, b = 3.9741 Å, c = 3.9741 Å
α = 90.00°, β = 90.00°, γ = 90.00°
Atoms (fractional coordinates):
Nb 0.0000 0.0000 0.0000
H 0.5000 0.5000 0.5000
Os 0.0000 0.5000 0.5000
Os 0.5000 0.0000 0.5000
Os 0.5000 0.5000 0.0000

Arrangement b

A relaxed NbHOs3 crystal. Source: Alexandria via LeMat-Bulk, functional PBE.

Summary:
**Crystal system**: cubic
**Total moment**: 3.97 μB per formula unit
**DOS at the Fermi energy**: 1.216 states/eV/atom
**Symmetry**: Pm-3m (221)

a = 4.8047 Å, b = 4.8047 Å, c = 4.8047 Å
α = 90.00°, β = 90.00°, γ = 90.00°
Atoms (fractional coordinates):
Nb 0.0000 0.0000 0.0000
H 0.5000 0.5000 0.5000
Os 0.0000 0.0000 0.5000
Os 0.0000 0.5000 0.0000
Os 0.5000 0.0000 0.0000

Which is most stable? The ranking, best first, is arrangement a, arrangement b.

Arrangement a

A relaxed NbHOs2 crystal. Source: Alexandria via LeMat-Bulk, functional PBE.

Summary:
**Crystal system**: tetragonal
**Total moment**: 0.00 μB per formula unit
**DOS at the Fermi energy**: 0.938 states/eV/atom
**Symmetry**: I-42d (122)

a = 5.5223 Å, b = 5.5223 Å, c = 6.9243 Å
α = 90.00°, β = 90.00°, γ = 90.00°
Atoms (fractional coordinates):
Nb 0.0000 0.0000 0.0000
Nb 0.0000 0.5000 0.2500
Nb 0.5000 0.0000 0.7500
Nb 0.5000 0.5000 0.5000
H 0.0000 0.0000 0.5000
H 0.0000 0.5000 0.7500
H 0.5000 0.0000 0.2500
H 0.5000 0.5000 0.0000
Os 0.1020 0.2500 0.6250
Os 0.2500 0.6020 0.8750
Os 0.2500 0.8980 0.3750
Os 0.3980 0.2500 0.1250
Os 0.6020 0.7500 0.1250
Os 0.7500 0.1020 0.3750
Os 0.7500 0.3980 0.8750
Os 0.8980 0.7500 0.6250

Arrangement b

A relaxed NbHOs2 crystal. Source: Alexandria via LeMat-Bulk, functional PBE.

Summary:
**Crystal system**: cubic
**Total moment**: 0.00 μB per formula unit
**DOS at the Fermi energy**: 1.007 states/eV/atom
**Symmetry**: Fm-3m (225)

a = 6.0477 Å, b = 6.0477 Å, c = 6.0477 Å
α = 90.00°, β = 90.00°, γ = 90.00°
Atoms (fractional coordinates):
Nb 0.0000 0.0000 0.0000
Nb 0.0000 0.5000 0.5000
Nb 0.5000 0.0000 0.5000
Nb 0.5000 0.5000 0.0000
H 0.0000 0.0000 0.5000
H 0.0000 0.5000 0.0000
H 0.5000 0.0000 0.0000
H 0.5000 0.5000 0.5000
Os 0.2500 0.2500 0.2500
Os 0.2500 0.2500 0.7500
Os 0.2500 0.7500 0.2500
Os 0.2500 0.7500 0.7500
Os 0.7500 0.2500 0.2500
Os 0.7500 0.2500 0.7500
Os 0.7500 0.7500 0.2500
Os 0.7500 0.7500 0.7500

Which is most stable? The ranking, best first, is arrangement a, arrangement b.